Here is a geometry-optimized NaSrGe structure from Alexandria. Energies are from PBE.

a = 4.153 Å, b = 6.149 Å, c = 8.538 Å
α = 77.11°, β = 76.46°, γ = 89.90°
Fractional coordinates of all 6 atoms:
Ge 0.819 0.879 0.970
Ge 0.284 0.611 0.045
Sr 0.212 0.081 0.190
Sr 0.462 0.958 0.673
Na 0.641 0.554 0.346
Na 0.891 0.426 0.820

Summary:
- formation energy (eV per atom) = -0.238
- magnetic moment (μB per formula unit) = 0.00
- electronic total energy (eV for the cell shown) = -16.67

Here is a geometry-optimized BaNb2P structure from Alexandria. Energies are from PBE.

a = 4.929 Å, b = 4.929 Å, c = 9.913 Å
α = 75.60°, β = 75.60°, γ = 90.00°
Fractional coordinates of all 8 atoms:
P 0.250 0.750 0.500
P 0.500 0.500 0.000
Nb 0.375 0.125 0.250
Nb 0.875 0.625 0.750
Nb 0.375 0.625 0.750
Nb 0.375 0.625 0.250
Ba 0.750 0.250 0.500
Ba 0.000 0.000 0.000

Summary:
- formation energy (eV per atom) = 0.310
- magnetic moment (μB per formula unit) = 0.00
- electronic total energy (eV for the cell shown) = -52.46

Here is a geometry-optimized Ac6HoS8 structure from Alexandria. Energies are from PBE.

a = 8.541 Å, b = 8.541 Å, c = 8.541 Å
α = 60.00°, β = 60.00°, γ = 60.00°
Fractional coordinates of all 15 atoms:
S 0.250 0.250 0.250
S 0.232 0.768 0.768
S 0.232 0.768 0.232
S 0.768 0.768 0.232
S 0.750 0.750 0.750
S 0.768 0.232 0.768
S 0.768 0.232 0.232
S 0.232 0.232 0.768
Ac 0.500 0.000 0.500
Ac 0.500 0.500 0.000
Ac 0.000 0.000 0.500
Ac 0.000 0.500 0.500
Ac 0.000 0.500 0.000
Ac 0.500 0.000 0.000
Ho 0.000 0.000 0.000

Summary:
- magnetic moment (μB per formula unit) = 0.00
- raw formation energy (meV/atom) = -2042
- electronic total energy (eV for the cell shown) = -92.87

Here is a geometry-optimized Dy3YSb2 structure from Alexandria. Energies are from PBE.

a = 4.315 Å, b = 10.454 Å, c = 9.738 Å
α = 125.06°, β = 90.00°, γ = 101.91°
Fractional coordinates of all 12 atoms:
Sb 0.492 0.983 0.828
Sb 0.750 0.500 0.222
Sb 0.508 0.017 0.172
Sb 0.250 0.500 0.778
Dy 0.688 0.377 0.484
Dy 0.312 0.623 0.516
Dy 0.645 0.291 0.814
Dy 0.944 0.888 0.564
Dy 0.056 0.112 0.436
Dy 0.355 0.709 0.186
Y 0.110 0.219 0.104
Y 0.890 0.781 0.896

Summary:
- magnetic moment (μB per formula unit) = 0.29
- raw formation energy (meV/atom) = -688
- electronic total energy (eV for the cell shown) = -65.29

Here is a geometry-optimized MnBi structure from Alexandria. Energies are from PBE.

a = 4.319 Å, b = 8.734 Å, c = 7.110 Å
α = 90.00°, β = 90.00°, γ = 90.00°
Fractional coordinates of all 12 atoms:
Bi 0.000 0.688 0.744
Bi 0.000 0.312 0.744
Bi 0.500 0.500 0.377
Bi 0.000 0.812 0.244
Bi 0.000 0.188 0.244
Bi 0.500 0.000 0.877
Mn 0.500 0.331 0.029
Mn 0.000 0.500 0.079
Mn 0.500 0.169 0.529
Mn 0.500 0.669 0.029
Mn 0.500 0.831 0.529
Mn 0.000 0.000 0.579

Summary:
- formation energy (eV per atom) = 0.326
- magnetic moment (μB per formula unit) = 3.20
- electronic total energy (eV for the cell shown) = -74.40

Here is a geometry-optimized SrFe2Pb structure from Alexandria. Energies are from PBE.

a = 4.525 Å, b = 4.525 Å, c = 6.062 Å
α = 67.95°, β = 67.95°, γ = 60.01°
Fractional coordinates of all 4 atoms:
Fe 0.067 0.067 0.800
Fe 0.433 0.433 0.700
Sr 0.250 0.250 0.250
Pb 0.750 0.750 0.750

Summary:
- formation energy (eV per atom) = 0.309
- magnetic moment (μB per formula unit) = 3.90
- electronic total energy (eV for the cell shown) = -21.08

Here is a geometry-optimized LaPu3Ru2 structure from Alexandria. Energies are from PBE.

a = 3.987 Å, b = 9.305 Å, c = 8.765 Å
α = 116.29°, β = 103.14°, γ = 90.00°
Fractional coordinates of all 12 atoms:
Pu 0.680 0.888 0.360
Pu 0.334 0.516 0.669
Pu 0.320 0.112 0.640
Pu 0.666 0.484 0.331
Pu 0.007 0.653 0.014
Pu 0.993 0.347 0.986
Ru 0.193 0.689 0.386
Ru 0.807 0.311 0.614
Ru 0.517 0.857 0.034
Ru 0.483 0.143 0.966
La 0.126 0.139 0.251
La 0.874 0.861 0.749

Summary:
- formation energy (eV per atom) = -0.049
- magnetic moment (μB per formula unit) = 4.90
- electronic total energy (eV for the cell shown) = -133.54

Here is a geometry-optimized PmHo3Bi3 structure from Alexandria. Energies are from PBE.

a = 9.180 Å, b = 9.180 Å, c = 8.213 Å
α = 56.02°, β = 56.02°, γ = 60.00°
Fractional coordinates of all 14 atoms:
Pm 0.334 0.334 0.998
Pm 0.666 0.666 0.002
Ho 0.660 0.178 0.244
Ho 0.340 0.822 0.756
Ho 0.918 0.660 0.244
Ho 0.082 0.340 0.756
Ho 0.822 0.082 0.756
Ho 0.178 0.918 0.244
Bi 0.472 0.083 0.744
Bi 0.701 0.472 0.744
Bi 0.299 0.528 0.256
Bi 0.528 0.917 0.256
Bi 0.917 0.299 0.256
Bi 0.083 0.701 0.744

Summary:
- formation energy (eV per atom) = -0.645
- magnetic moment (μB per formula unit) = 0.00
- electronic total energy (eV for the cell shown) = -69.29

Here is a geometry-optimized LiMgIr2 structure from Alexandria. Energies are from PBE.

a = 8.797 Å, b = 8.797 Å, c = 8.797 Å
α = 18.25°, β = 18.25°, γ = 18.25°
Fractional coordinates of all 4 atoms:
Mg 0.750 0.750 0.750
Li 0.250 0.250 0.250
Ir 0.000 0.000 0.000
Ir 0.500 0.500 0.500

Summary:
- formation energy (eV per atom) = -0.172
- magnetic moment (μB per formula unit) = 0.00
- electronic total energy (eV for the cell shown) = -21.92

Here is a geometry-optimized La2BeCr structure from Alexandria. Energies are from PBE.

a = 4.999 Å, b = 4.999 Å, c = 4.999 Å
α = 60.00°, β = 60.00°, γ = 60.00°
Fractional coordinates of all 4 atoms:
La 0.000 0.000 0.000
La 0.250 0.250 0.250
Cr 0.750 0.750 0.750
Be 0.500 0.500 0.500

Summary:
- formation energy (eV per atom) = 0.452
- magnetic moment (μB per formula unit) = 3.87
- electronic total energy (eV for the cell shown) = -21.40

Here is a geometry-optimized BiBr3 structure from Alexandria. Energies are from PBE.

a = 7.380 Å, b = 7.380 Å, c = 7.472 Å
α = 99.16°, β = 99.03°, γ = 119.94°
Fractional coordinates of all 8 atoms:
Br 0.575 0.934 0.236
Br 0.066 0.424 0.764
Br 0.425 0.066 0.764
Br 0.214 0.215 0.239
Br 0.786 0.785 0.761
Br 0.934 0.576 0.236
Bi 0.833 0.167 0.000
Bi 0.167 0.833 0.000

Summary:
- magnetic moment (μB per formula unit) = 0.00
- raw formation energy (meV/atom) = -745
- electronic total energy (eV for the cell shown) = -23.76

Here is a geometry-optimized MnAl2Zn structure from Alexandria. Energies are from PBE.

a = 7.086 Å, b = 7.086 Å, c = 5.660 Å
α = 51.25°, β = 51.25°, γ = 90.00°
Fractional coordinates of all 8 atoms:
Al 0.875 0.881 0.750
Al 0.119 0.625 0.250
Al 0.631 0.125 0.250
Al 0.375 0.369 0.750
Zn 0.750 0.250 0.500
Zn 0.000 0.000 0.000
Mn 0.250 0.750 0.500
Mn 0.500 0.500 0.000

Summary:
- formation energy (eV per atom) = 0.327
- magnetic moment (μB per formula unit) = 2.91
- electronic total energy (eV for the cell shown) = -33.24